1.
# Tl2Cu

A relaxed structure of Tl2Cu (PBE, Alexandria via LeMat-Bulk).

The calculation puts the calculated formation energy at 0.623 eV per atom. For the total energy, the calculation gives -2.320 eV per atom.

a = 6.5097 Å, b = 6.5097 Å, c = 10.2267 Å
α = 90.00°, β = 90.00°, γ = 120.00°
Space group P6_3/mmc (No. 194)
Inequivalent atoms, fractional coordinates:
Tl1 0.0000 0.0000 0.0000 [2 per cell]
Tl2 0.1697 0.3394 0.2500 [6 per cell]
Cu1 0.3333 0.6667 0.0389 [4 per cell]

---

2.
# Tl4Cu

A relaxed structure of Tl4Cu (PBE, Alexandria via LeMat-Bulk).

As for the energy relative to the lowest polymorph listed for this composition: 0 meV per atom. The calculation puts the calculated formation energy at 0.155 eV per atom. For the total energy, the calculation gives -2.557 eV per atom.

a = 5.309 Å, b = 5.309 Å, c = 5.309 Å
α = 90.00°, β = 90.00°, γ = 90.00°
Space group Pm-3m (No. 221)
Inequivalent atoms, fractional coordinates:
Tl1 0.000 0.000 0.000 [1 per cell]
Tl2 0.000 0.500 0.500 [3 per cell]
Cu1 0.500 0.500 0.500 [1 per cell]

---

3.
# Tl3Cu

A relaxed structure of Tl3Cu (PBE, Alexandria via LeMat-Bulk).

The calculation puts the calculated formation energy at 0.230 eV per atom. For the total energy, the calculation gives -2.569 eV per atom.

a = 4.019 Å, b = 4.262 Å, c = 6.539 Å
α = 90.00°, β = 106.15°, γ = 90.00°
Space group P2/m (No. 10)
Inequivalent atoms, fractional coordinates:
Tl1 0.000 0.000 0.000 [1 per cell]
Tl2 0.389 0.500 0.719 [2 per cell]
Cu1 0.000 0.000 0.500 [1 per cell]

---

4.
# TlCu2

A relaxed structure of TlCu2 (PBE, Alexandria via LeMat-Bulk).

The calculation puts the calculated formation energy at 0.235 eV per atom. For the total energy, the calculation gives -3.284 eV per atom.

a = 10.884 Å, b = 3.019 Å, c = 6.854 Å
α = 90.00°, β = 115.38°, γ = 90.00°
Space group C2/m (No. 12)
Inequivalent atoms, fractional coordinates:
Tl1 0.158 0.000 0.116 [4 per cell]
Cu1 0.043 0.500 0.704 [4 per cell]
Cu2 0.156 0.000 0.522 [4 per cell]